1.
SrScTc2 | PBE | optimized geometry

```
4
Lattice="1.574 0.909 9.265 -1.574 0.909 9.265 0.000 -1.817 9.265" Properties=species:S:1:pos:R:3 pbc="T T T"
Sr 0.000 0.000 0.000
Sc 0.000 0.000 13.898
Tc 0.000 0.000 6.708
Tc 0.000 0.000 21.087
```

Values from the calculation:
**DFT total energy**: -6.467 eV per atom
**D(E_F)**: 6.79 states/eV per cell
**Energy of formation from the pure elements**: 0.7191 eV per atom
**Magnetization**: 0.328 μB/cell

***

2.
SrScTc2 | PBE | optimized geometry

```
4
Lattice="-1.631 2.526 4.721 1.631 -2.526 4.721 1.631 2.526 -4.721" Properties=species:S:1:pos:R:3 pbc="T T T"
Sr 0.000 0.000 0.000
Sc 0.000 0.000 4.721
Tc 1.631 0.000 2.484
Tc 0.000 2.526 2.237
```

Values from the calculation:
**DFT total energy**: -6.462 eV per atom
**D(E_F)**: 5.31 states/eV per cell
**Energy of formation from the pure elements**: 0.7242 eV per atom
**Magnetization**: 0.000 μB/cell

***

3.
Sr3ScTc | PBE | optimized geometry

```
5
Lattice="5.726 0.000 0.000 0.000 5.726 0.000 0.000 0.000 5.726" Properties=species:S:1:pos:R:3 pbc="T T T"
Sr 0.000 0.000 2.863
Sr 0.000 2.863 0.000
Sr 2.863 0.000 0.000
Sc 2.863 2.863 2.863
Tc 0.000 0.000 0.000
```

Values from the calculation:
**DFT total energy**: -3.523 eV per atom
**D(E_F)**: 10.04 states/eV per cell
**Energy of formation from the pure elements**: 0.8254 eV per atom
**Magnetization**: 0.007 μB/cell

***

4.
SrSc2Tc | PBE | optimized geometry

```
4
Lattice="0.000 3.546 3.546 3.546 0.000 3.546 3.546 3.546 0.000" Properties=species:S:1:pos:R:3 pbc="T T T"
Sr 0.000 0.000 0.000
Sc 1.773 1.773 1.773
Sc 5.319 5.319 5.319
Tc 3.546 3.546 3.546
```

Values from the calculation:
**DFT total energy**: -5.820 eV per atom
**D(E_F)**: 5.29 states/eV per cell
**Energy of formation from the pure elements**: 0.3577 eV per atom
**Magnetization**: 0.000 μB/cell